<i>
ZrCo2Os PBEsol optimized geometry; symmetry = No. 25; magnetic moment = 0.43 μB/atom
1.0
2.9944 0.0000 0.0000
0.0000 3.2561 0.0000
0.0000 0.0000 5.6462
Zr Co Os
1 2 1
Direct
0.0000 0.0000 0.0000
0.0000 0.0000 0.4839
0.5000 0.5000 0.2566
0.5000 0.5000 0.6870

=====

<ii>
ZrCo2Os PBEsol optimized geometry; symmetry = No. 6; magnetic moment = 0.11 μB/atom
1.0
2.7704 0.0000 0.0000
0.0000 4.0290 0.0000
-1.3759 0.0000 4.8064
Zr Co Os
1 2 1
Direct
0.0000 0.0000 0.0000
0.5946 0.5000 0.1907
0.7344 0.0000 0.4742
0.3085 0.5000 0.6212

=====

Last place for stability: <i>

=====

<i>
CoP3 PBEsol optimized geometry; symmetry = No. 115; magnetic moment = 0.00 μB/atom
1.0
3.3086 0.0000 0.0000
0.0000 3.3086 0.0000
0.0000 0.0000 5.0675
Co P
1 3
Direct
0.0000 0.0000 0.0000
0.0000 0.5000 0.3177
0.5000 0.0000 0.6823
0.5000 0.5000 0.0000

=====

<ii>
CoP3 PBEsol optimized geometry; symmetry = No. 123; magnetic moment = 0.00 μB/atom
1.0
2.8542 0.0000 0.0000
0.0000 2.8542 0.0000
0.0000 0.0000 6.0321
Co P
1 3
Direct
0.0000 0.0000 0.0000
0.0000 0.0000 0.5000
0.5000 0.5000 0.2157
0.5000 0.5000 0.7843

=====

<iii>
CoP3 PBEsol optimized geometry; symmetry = No. 187; magnetic moment = 0.00 μB/atom
1.0
2.6706 0.0000 0.0000
-1.3353 2.3128 0.0000
0.0000 0.0000 8.2594
Co P
1 3
Direct
0.0000 0.0000 0.0000
0.0000 0.0000 0.5000
0.3333 0.6667 0.2072
0.3333 0.6667 0.7928

=====

Last place for stability: <iii>